ZnMo2O4: relaxed, PBE with a Hubbard U.

Output
As for the total energy: -0.2326 Ha/atom.

Cell and atoms, written as CIF:
```
data_ZnMo2O4
_chemical_formula_sum 'Zn4 Mo8 O16'
_cell_length_a 6.396
_cell_length_b 10.707
_cell_length_c 5.320
_cell_angle_alpha 90.00
_cell_angle_beta 90.00
_cell_angle_gamma 90.00
_symmetry_space_group_name_H-M 'P m m n'
_symmetry_Int_Tables_number 59
loop_
_symmetry_equiv_pos_as_xyz
'x,y,z'
'-x,-y,-z'
'-x+1/2,-y+1/2,z'
'x+1/2,y+1/2,-z'
'x+1/2,-y,-z'
'-x+1/2,y,z'
'-x,y+1/2,-z'
'x,-y+1/2,z'
loop_
_atom_site_label
_atom_site_fract_x
_atom_site_fract_y
_atom_site_fract_z
Zn1 0.250 0.250 0.072
Zn2 0.250 0.750 0.333
Mo1 0.000 0.000 0.500
Mo2 0.250 0.514 0.964
O1 0.003 0.614 0.157
O2 0.250 0.098 0.298
O3 0.250 0.618 0.610
```